Version a
A geometry-optimized ReAg2Mo structure. Source: the Alexandria database, functional GGA-PBEsol.

CIF file:
```
data_ReAg2Mo
_chemical_formula_sum 'Re1 Ag2 Mo1'
_cell_length_a 2.659
_cell_length_b 4.111
_cell_length_c 5.715
_cell_angle_alpha 90.00
_cell_angle_beta 90.00
_cell_angle_gamma 90.00
_symmetry_space_group_name_H-M 'P m m 2'
_symmetry_Int_Tables_number 25
loop_
_symmetry_equiv_pos_as_xyz
'x,y,z'
'-x,-y,z'
'-x,y,z'
'x,-y,z'
loop_
_atom_site_label
_atom_site_fract_x
_atom_site_fract_y
_atom_site_fract_z
_atom_site_occupancy
Re1 0.000 0.000 0.000 1
Ag1 0.000 0.000 0.509 1
Ag2 0.500 0.500 0.273 1
Mo1 0.500 0.500 0.785 1
```

N(E_F)	2.8	states/eV/cell

Version b
A geometry-optimized ReAg2Mo structure. Source: the Alexandria database, functional GGA-PBEsol.

CIF file:
```
data_ReAg2Mo
_chemical_formula_sum 'Re2 Ag4 Mo2'
_cell_length_a 3.229
_cell_length_b 4.612
_cell_length_c 8.684
_cell_angle_alpha 90.00
_cell_angle_beta 90.00
_cell_angle_gamma 90.00
_symmetry_space_group_name_H-M 'I m m 2'
_symmetry_Int_Tables_number 44
loop_
_symmetry_equiv_pos_as_xyz
'x,y,z'
'-x,-y,z'
'-x,y,z'
'x,-y,z'
'x+1/2,y+1/2,z+1/2'
'-x+1/2,-y+1/2,z+1/2'
'-x+1/2,y+1/2,z+1/2'
'x+1/2,-y+1/2,z+1/2'
loop_
_atom_site_label
_atom_site_fract_x
_atom_site_fract_y
_atom_site_fract_z
_atom_site_occupancy
Re1 0.000 0.000 0.000 1
Ag1 0.000 0.000 0.524 1
Ag2 0.000 0.500 0.765 1
Mo1 0.000 0.500 0.295 1
```

N(E_F)	4.1	states/eV/cell

The most stable arrangement is version a, and the next structure is 0.135 eV/atom less stable.